Entry 1:
DFT (PBE) results for a geometry-optimized LiF structure.

Computed properties:
- crystal system = hexagonal
- formation energy (no corrections) (kJ/mol of atoms) = -275.4
- total moment (μB/cell) = 0.00
- symmetry = P6_3/mmc (194)
- volume (Å³/atom) = 8.82
- E (eV per atom) = -4.746

a = 2.830 Å, b = 2.830 Å, c = 5.088 Å
α = 90.00°, β = 90.00°, γ = 120.00°
Atoms (fractional coordinates):
Li1 0.333 0.667 0.250
Li2 0.667 0.333 0.750
F1 0.000 0.000 0.000
F2 0.000 0.000 0.500

***

Entry 2:
DFT (PBE) results for a geometry-optimized NaSiOF2 structure.

Computed properties:
- crystal system = tetragonal
- formation energy (no corrections) (kJ/mol of atoms) = -72.8
- total moment (μB/cell) = 1.00
- symmetry = P4/mmm (123)
- volume (Å³/atom) = 13.64
- E (eV per atom) = -3.843

a = 4.010 Å, b = 4.010 Å, c = 4.240 Å
α = 90.00°, β = 90.00°, γ = 90.00°
Atoms (fractional coordinates):
Na1 0.000 0.000 0.000
Si1 0.500 0.500 0.500
O1 0.000 0.000 0.500
F1 0.000 0.500 0.000
F2 0.500 0.000 0.000